KNaPO2: relaxed, PBE-GGA.

a = 4.6541 Å, b = 4.6541 Å, c = 5.4270 Å
α = 90.00°, β = 90.00°, γ = 90.00°
Closest atoms and distances in Å follow each position.
Element x y z (fractional)
P 0.0000 0.0000 0.5000  2 Na 2.71
K 0.5000 0.5000 0.5000  4 P 3.29, 8 O 3.57
O 0.0000 0.5000 0.0000  2 Na 2.33
O 0.5000 0.0000 0.0000  2 Na 2.33
Na 0.0000 0.0000 0.0000  4 O 2.33

Space group = P4/mmm
Energy above the most stable polymorph in this dataset = 0.0 meV per atom
D(E_F) = 3.9 states/eV per cell
Formation energy from raw total energies = 0.366 eV per atom